First-principles (GGA+U) data for a geometry-optimized Co2Te2F structure, as listed in the Alexandria database.

Computed properties:
polymorph energy (0 for the lowest one): 35.14 kJ/mol of atoms
uncorrected energy: -3.42 eV/atom
V: 17.87 Å³ per atom

Cell lengths 7.0755, 7.0755, 3.5696 Å; angles 90.00, 90.00, 90.00 degrees
Closest atoms and distances in Å follow each position.
Positions (direct):
Co1 0.1248 0.3752 0.0000  1 Co 2.50, 4 Te 2.69, 2 F 2.80
Co2 0.3752 0.8752 0.0000  1 Co 2.50, 4 Te 2.69, 2 F 2.80
Co3 0.6248 0.1248 0.0000  1 Co 2.50, 4 Te 2.69, 2 F 2.80
Co4 0.8752 0.6248 0.0000  1 Co 2.50, 4 Te 2.69, 2 F 2.80
Te1 0.1576 0.6576 0.5000  6 Co 2.69-2.81
Te2 0.3424 0.1576 0.5000  6 Co 2.69-2.81
Te3 0.6576 0.8424 0.5000  6 Co 2.69-2.81
Te4 0.8424 0.3424 0.5000  6 Co 2.69-2.81
F1 0.0000 0.0000 0.0000  4 Co 2.80
F2 0.5000 0.5000 0.0000  4 Co 2.80